Record 1
! PBE HfPdN2, optimized geometry; values from VASP
&SYSTEM
  ibrav = 0, nat = 4, ntyp = 3
/
ATOMIC_SPECIES
N 14.01 N.upf
Pd 106.42 Pd.upf
Hf 178.49 Hf.upf
CELL_PARAMETERS angstrom
-2.624 2.288 5.337
-0.740 4.721 4.215
-3.724 4.245 2.952
ATOMIC_POSITIONS crystal
N 0.892 0.892 0.892
Pd 0.000 0.000 0.000
Hf 0.500 0.500 0.500
N 0.108 0.108 0.108
! Crystal system   trigonal
! Energy   -8.46 eV per atom
! N(E_F)   0.99 states/eV per atom
! Energy relative to the lowest polymorph listed for this composition   0.00 eV per formula unit

Record 2
! PBE HfPd3N, optimized geometry; values from VASP
&SYSTEM
  ibrav = 0, nat = 5, ntyp = 3
/
ATOMIC_SPECIES
Pd 106.42 Pd.upf
N 14.01 N.upf
Hf 178.49 Hf.upf
CELL_PARAMETERS angstrom
-0.680 1.616 3.839
-3.949 0.988 -1.115
-1.326 -3.772 1.353
ATOMIC_POSITIONS crystal
Pd 0.000 0.500 0.000
N 0.000 0.000 0.000
Pd 0.000 0.000 0.500
Pd 0.500 0.000 0.000
Hf 0.500 0.500 0.500
! Crystal system   cubic
! Energy   -6.74 eV per atom
! N(E_F)   0.66 states/eV per atom
! Energy relative to the lowest polymorph listed for this composition   0.00 eV per formula unit

Record 3
! PBE HfPd3N, optimized geometry; values from VASP
&SYSTEM
  ibrav = 0, nat = 5, ntyp = 3
/
ATOMIC_SPECIES
Pd 106.42 Pd.upf
N 14.01 N.upf
Hf 178.49 Hf.upf
CELL_PARAMETERS angstrom
-2.397 0.554 4.266
4.229 -0.589 2.453
0.787 4.857 -0.189
ATOMIC_POSITIONS crystal
Pd 0.000 0.000 0.500
N 0.500 0.500 0.500
Pd 0.000 0.500 0.000
Hf 0.000 0.000 0.000
Pd 0.500 0.000 0.000
! Crystal system   cubic
! Energy   -5.13 eV per atom
! N(E_F)   0.55 states/eV per atom
! Energy relative to the lowest polymorph listed for this composition   8.05 eV per formula unit

Record 4
! PBE HfPdN2, optimized geometry; values from VASP
&SYSTEM
  ibrav = 0, nat = 8, ntyp = 3
/
ATOMIC_SPECIES
Pd 106.42 Pd.upf
N 14.01 N.upf
Hf 178.49 Hf.upf
CELL_PARAMETERS angstrom
4.782 0.000 0.000
0.000 4.782 0.000
2.391 2.391 5.001
ATOMIC_POSITIONS crystal
Pd 0.250 0.750 0.500
N 0.108 0.625 0.250
Hf 0.750 0.250 0.500
Hf 0.000 0.000 0.000
Pd 0.500 0.500 0.000
N 0.875 0.892 0.750
N 0.642 0.125 0.250
N 0.375 0.358 0.750
! Crystal system   tetragonal
! Energy   -8.34 eV per atom
! N(E_F)   0.49 states/eV per atom
! Energy relative to the lowest polymorph listed for this composition   0.49 eV per formula unit